No. 1
{"formula": "MnOsRh2", "functional": "PBE-GGA", "state": "optimized geometry", "polymorph_energy_mev_per_atom": 17, "formation_energy_mev_per_atom": -6, "lattice_angstrom": [[4.4632, -1.3602, 0.0000], [4.4632, 1.3602, 0.0000], [-0.8748, 0.0000, 4.5859]], "species": ["Mn", "Os", "Rh", "Rh"], "frac_coords": [[0.0000, 0.0000, 0.0000], [0.2547, 0.2547, 0.7367], [0.5040, 0.5040, 0.5102], [0.7482, 0.7482, 0.2337]]}



No. 2
{"formula": "Sb2PbS", "functional": "PBE-GGA", "state": "optimized geometry", "formation_energy_uncorrected_ev_per_atom": 0.211, "polymorph_energy_mev_per_atom": 0, "lattice_angstrom": [[-2.9269, 2.9269, 8.0432], [2.9269, -2.9269, 8.0432], [2.9269, 2.9269, -8.0432]], "species": ["Sb", "Sb", "Sb", "Sb", "Pb", "Pb", "S", "S"], "frac_coords": [[0.0497, 0.6250, 0.9247], [0.3750, 0.2997, 0.4247], [0.7003, 0.1250, 0.0753], [0.8750, 0.9503, 0.5753], [0.2500, 0.7500, 0.5000], [0.5000, 0.5000, 0.0000], [0.0000, 0.0000, 0.0000], [0.7500, 0.2500, 0.5000]]}



No. 3
{"formula": "Sb2MoBr", "functional": "PBE-GGA", "state": "optimized geometry", "formation_energy_uncorrected_ev_per_atom": 0.543, "polymorph_energy_mev_per_atom": 467, "lattice_angstrom": [[-3.3319, 3.3319, 6.3857], [3.3319, -3.3319, 6.3857], [3.3319, 3.3319, -6.3857]], "species": ["Sb", "Sb", "Sb", "Sb", "Mo", "Mo", "Br", "Br"], "frac_coords": [[0.0447, 0.6250, 0.9197], [0.3750, 0.2947, 0.4197], [0.7053, 0.1250, 0.0803], [0.8750, 0.9553, 0.5803], [0.0000, 0.0000, 0.0000], [0.7500, 0.2500, 0.5000], [0.2500, 0.7500, 0.5000], [0.5000, 0.5000, 0.0000]]}



No. 4
{"formula": "ScZnCdIn2", "functional": "PBE-GGA", "state": "optimized geometry", "formation_energy_mev_per_atom": 654, "lattice_angstrom": [[5.7050, 0.0000, 0.0000], [0.0000, 5.7050, 0.0000], [0.0000, 0.0000, 5.6276]], "species": ["Sc", "Zn", "Cd", "In", "In"], "frac_coords": [[0.0000, 0.0000, 0.0000], [0.5000, 0.5000, 0.5000], [0.0000, 0.0000, 0.5000], [0.0000, 0.5000, 0.0000], [0.5000, 0.0000, 0.0000]]}



No. 5
{"formula": "Cs10K6Au", "functional": "PBE-GGA", "state": "optimized geometry", "formation_energy_mev_per_atom": -21, "lattice_angstrom": [[13.8297, 0.0000, 0.0000], [-6.9149, 11.9769, 0.0000], [0.0000, 0.0000, 9.3836]], "species": ["Cs", "Cs", "Cs", "Cs", "Cs", "Cs", "Cs", "Cs", "Cs", "Cs", "K", "K", "K", "K", "K", "K", "Au"], "frac_coords": [[0.0000, 0.2210, 0.2720], [0.0000, 0.7790, 0.7280], [0.2210, 0.0000, 0.2720], [0.2210, 0.2210, 0.7280], [0.3333, 0.6667, 0.0000], [0.3333, 0.6667, 0.5000], [0.6667, 0.3333, 0.0000], [0.6667, 0.3333, 0.5000], [0.7790, 0.0000, 0.7280], [0.7790, 0.7790, 0.2720], [0.0000, 0.4116, 0.7574], [0.0000, 0.5884, 0.2426], [0.4116, 0.0000, 0.7574], [0.4116, 0.4116, 0.2426], [0.5884, 0.0000, 0.2426], [0.5884, 0.5884, 0.7574], [0.0000, 0.0000, 0.5000]]}



No. 6
{"formula": "Ca2ReCl", "functional": "PBE-GGA", "state": "optimized geometry", "formation_energy_uncorrected_ev_per_atom": -0.041, "polymorph_energy_mev_per_atom": 200, "lattice_angstrom": [[5.4372, 0.0000, 0.0000], [0.0000, 5.4372, 0.0000], [0.0000, 0.0000, 3.0370]], "species": ["Ca", "Ca", "Re", "Cl"], "frac_coords": [[0.0000, 0.5000, 0.0000], [0.5000, 0.0000, 0.0000], [0.0000, 0.0000, 0.4993], [0.5000, 0.5000, 0.5024]]}



No. 7
{"formula": "NpTl3Cu2O9", "functional": "PBE-GGA", "state": "optimized geometry", "formation_energy_uncorrected_ev_per_atom": -1.015, "lattice_angstrom": [[5.6572, 0.0000, 0.0000], [-2.8286, 4.8993, 0.0000], [0.0000, 0.0000, 7.1248]], "species": ["Np", "Tl", "Tl", "Tl", "Cu", "Cu", "O", "O", "O", "O", "O", "O", "O", "O", "O"], "frac_coords": [[0.0000, 0.0000, 0.0000], [0.0000, 0.0000, 0.5000], [0.3333, 0.6667, 0.2272], [0.6667, 0.3333, 0.7728], [0.3333, 0.6667, 0.6627], [0.6667, 0.3333, 0.3373], [0.0000, 0.5000, 0.5000], [0.1666, 0.3332, 0.8328], [0.1666, 0.8334, 0.8328], [0.3332, 0.1666, 0.1672], [0.5000, 0.0000, 0.5000], [0.5000, 0.5000, 0.5000], [0.6668, 0.8334, 0.8328], [0.8334, 0.1666, 0.1672], [0.8334, 0.6668, 0.1672]]}



No. 8
{"formula": "SiIr2Rh", "functional": "PBE-GGA", "state": "optimized geometry", "formation_energy_uncorrected_ev_per_atom": -0.022, "lattice_angstrom": [[2.6211, -4.7172, 0.0000], [2.6211, 4.7172, 0.0000], [-1.4341, 0.0000, 2.3412]], "species": ["Si", "Ir", "Ir", "Rh"], "frac_coords": [[0.0000, 0.0000, 0.0000], [0.0000, 0.5000, 0.5000], [0.5000, 0.0000, 0.5000], [0.5000, 0.5000, 0.0000]]}



No. 9
{"formula": "SrRe2Sb", "functional": "PBE-GGA", "state": "optimized geometry", "formation_energy_uncorrected_ev_per_atom": 0.977, "lattice_angstrom": [[0.0000, 3.4142, 3.4142], [3.4142, 0.0000, 3.4142], [3.4142, 3.4142, 0.0000]], "species": ["Sr", "Re", "Re", "Sb"], "frac_coords": [[0.0000, 0.0000, 0.0000], [0.5000, 0.5000, 0.5000], [0.7500, 0.7500, 0.7500], [0.2500, 0.2500, 0.2500]]}



No. 10
{"formula": "Li12Mg5In2", "functional": "PBE-GGA", "state": "optimized geometry", "polymorph_energy_mev_per_atom": 25, "formation_energy_mev_per_atom": -72, "lattice_angstrom": [[6.9201, -3.9993, 0.0000], [6.9201, 3.9993, 0.0000], [-0.0350, 0.0000, 7.0259]], "species": ["Li", "Li", "Li", "Li", "Li", "Li", "Li", "Li", "Li", "Li", "Li", "Li", "Mg", "Mg", "Mg", "Mg", "Mg", "In", "In"], "frac_coords": [[0.0531, 0.0531, 0.3270], [0.0835, 0.6729, 0.3341], [0.1544, 0.5375, 0.7582], [0.3271, 0.9165, 0.6659], [0.4079, 0.4079, 0.1054], [0.4625, 0.8456, 0.2418], [0.5375, 0.1544, 0.7582], [0.5921, 0.5921, 0.8946], [0.6729, 0.0835, 0.3341], [0.8456, 0.4625, 0.2418], [0.9165, 0.3271, 0.6659], [0.9469, 0.9469, 0.6730], [0.1947, 0.1947, 0.9962], [0.2603, 0.2603, 0.4426], [0.5000, 0.5000, 0.5000], [0.7397, 0.7397, 0.5574], [0.8053, 0.8053, 0.0038], [0.1948, 0.8052, 0.0000], [0.8052, 0.1948, 0.0000]]}



No. 11
{"formula": "KLi4In5", "functional": "PBE-GGA", "state": "optimized geometry", "formation_energy_mev_per_atom": -216, "lattice_angstrom": [[3.3379, 0.0000, 0.0000], [0.0000, 3.7718, 0.0000], [0.0000, 0.0000, 18.0776]], "species": ["K", "Li", "Li", "Li", "Li", "In", "In", "In", "In", "In"], "frac_coords": [[0.0000, 0.0000, 0.0000], [0.0000, 0.0000, 0.2365], [0.0000, 0.0000, 0.4121], [0.0000, 0.0000, 0.5879], [0.0000, 0.0000, 0.7635], [0.5000, 0.5000, 0.1474], [0.5000, 0.5000, 0.3219], [0.5000, 0.5000, 0.5000], [0.5000, 0.5000, 0.6781], [0.5000, 0.5000, 0.8526]]}



No. 12
{"formula": "ScAgOs2", "functional": "PBE-GGA", "state": "optimized geometry", "polymorph_energy_mev_per_atom": 462, "formation_energy_mev_per_atom": 536, "lattice_angstrom": [[0.0000, 3.1923, 3.1923], [3.1923, 0.0000, 3.1923], [3.1923, 3.1923, 0.0000]], "species": ["Sc", "Ag", "Os", "Os"], "frac_coords": [[0.0000, 0.0000, 0.0000], [0.5000, 0.5000, 0.5000], [0.2500, 0.2500, 0.2500], [0.7500, 0.7500, 0.7500]]}



No. 13
{"formula": "Y3Co", "functional": "PBE-GGA", "state": "optimized geometry", "formation_energy_mev_per_atom": -53, "lattice_angstrom": [[-1.7751, 5.4099, 2.6657], [1.7751, -5.4099, 2.6657], [1.7751, 5.4099, -2.6657]], "species": ["Y", "Y", "Y", "Co"], "frac_coords": [[0.0000, 0.0000, 0.0000], [0.3083, 0.4996, 0.8087], [0.6910, 0.4996, 0.1913], [0.4973, 0.9973, 0.5000]]}



No. 14
{"formula": "KPt2Br", "functional": "PBE-GGA", "state": "optimized geometry", "formation_energy_uncorrected_ev_per_atom": 0.271, "polymorph_energy_mev_per_atom": 466, "lattice_angstrom": [[3.9400, 0.0000, 0.0000], [0.0000, 3.9400, 0.0000], [0.0000, 0.0000, 6.1117]], "species": ["K", "Pt", "Pt", "Br"], "frac_coords": [[0.0000, 0.0000, 0.0000], [0.0000, 0.5000, 0.5000], [0.5000, 0.0000, 0.5000], [0.5000, 0.5000, 0.0000]]}



No. 15
{"formula": "NdVAu", "functional": "PBE-GGA", "state": "optimized geometry", "formation_energy_mev_per_atom": 209, "lattice_angstrom": [[4.2210, 0.0000, 0.0000], [-2.1105, 3.6555, 0.0000], [0.0000, 0.0000, 10.2442]], "species": ["Nd", "Nd", "V", "V", "Au", "Au"], "frac_coords": [[0.0000, 0.0000, 0.1830], [0.0000, 0.0000, 0.8170], [0.3333, 0.6667, 0.4058], [0.3333, 0.6667, 0.5942], [0.0000, 0.0000, 0.5000], [0.3333, 0.6667, 0.0000]]}



No. 16
{"formula": "Li5AgHg2Bi2", "functional": "PBE-GGA", "state": "optimized geometry", "formation_energy_mev_per_atom": -257, "lattice_angstrom": [[11.0965, 0.0000, 0.0000], [0.0000, 11.0965, 0.0000], [0.0000, 0.0000, 3.4453]], "species": ["Li", "Li", "Li", "Li", "Li", "Li", "Li", "Li", "Li", "Li", "Ag", "Ag", "Hg", "Hg", "Hg", "Hg", "Bi", "Bi", "Bi", "Bi"], "frac_coords": [[0.0000, 0.5000, 0.0000], [0.0262, 0.1959, 0.0000], [0.1959, 0.9738, 0.0000], [0.3041, 0.4738, 0.0000], [0.4738, 0.6959, 0.0000], [0.5000, 0.0000, 0.0000], [0.5262, 0.3041, 0.0000], [0.6959, 0.5262, 0.0000], [0.8041, 0.0262, 0.0000], [0.9738, 0.8041, 0.0000], [0.0000, 0.0000, 0.5000], [0.5000, 0.5000, 0.5000], [0.1319, 0.3681, 0.5000], [0.3681, 0.8681, 0.5000], [0.6319, 0.1319, 0.5000], [0.8681, 0.6319, 0.5000], [0.1732, 0.6732, 0.5000], [0.3268, 0.1732, 0.5000], [0.6732, 0.8268, 0.5000], [0.8268, 0.3268, 0.5000]]}



No. 17
{"formula": "PmInNi", "functional": "PBE-GGA", "state": "optimized geometry", "polymorph_energy_mev_per_atom": 0, "formation_energy_mev_per_atom": -466, "lattice_angstrom": [[13.2996, 0.0000, 0.0000], [0.0000, 3.8103, 0.0000], [0.0000, 0.0000, 7.6899]], "species": ["Pm", "Pm", "Pm", "Pm", "Pm", "Pm", "In", "In", "In", "In", "In", "In", "Ni", "Ni", "Ni", "Ni", "Ni", "Ni"], "frac_coords": [[0.0438, 0.0000, 0.2264], [0.2500, 0.0000, 0.8602], [0.4562, 0.0000, 0.2264], [0.5438, 0.0000, 0.7736], [0.7500, 0.0000, 0.1398], [0.9562, 0.0000, 0.7736], [0.1226, 0.5000, 0.5741], [0.2500, 0.5000, 0.2019], [0.3774, 0.5000, 0.5741], [0.6226, 0.5000, 0.4259], [0.7500, 0.5000, 0.7981], [0.8774, 0.5000, 0.4259], [0.0924, 0.5000, 0.9451], [0.2500, 0.0000, 0.4529], [0.4076, 0.5000, 0.9451], [0.5924, 0.5000, 0.0549], [0.7500, 0.0000, 0.5471], [0.9076, 0.5000, 0.0549]]}



No. 18
{"formula": "SrScOs2", "functional": "PBE-GGA", "state": "optimized geometry", "formation_energy_mev_per_atom": 295, "lattice_angstrom": [[2.9948, 0.0000, 0.0000], [0.0000, 2.9948, 0.0000], [0.0000, 0.0000, 9.3261]], "species": ["Sr", "Sc", "Os", "Os"], "frac_coords": [[0.0000, 0.0000, 0.0000], [0.5000, 0.5000, 0.6347], [0.0000, 0.0000, 0.4279], [0.5000, 0.5000, 0.2594]]}



No. 19
{"formula": "YZrSb2Te", "functional": "PBE-GGA", "state": "optimized geometry", "formation_energy_uncorrected_ev_per_atom": 0.506, "polymorph_energy_mev_per_atom": 620, "lattice_angstrom": [[5.7545, 0.0000, 0.0000], [0.0000, 5.7545, 0.0000], [0.0000, 0.0000, 5.2378]], "species": ["Y", "Zr", "Sb", "Sb", "Te"], "frac_coords": [[0.0000, 0.0000, 0.0000], [0.5000, 0.5000, 0.0000], [0.0000, 0.5000, 0.5000], [0.5000, 0.0000, 0.5000], [0.5000, 0.5000, 0.5000]]}



No. 20
{"formula": "PmTm2Cd3", "functional": "PBE-GGA", "state": "optimized geometry", "polymorph_energy_mev_per_atom": 2, "formation_energy_mev_per_atom": -309, "lattice_angstrom": [[2.6229, -7.8925, 0.0000], [2.6229, 7.8925, 0.0000], [0.0000, 0.0000, 7.6022]], "species": ["Pm", "Pm", "Tm", "Tm", "Tm", "Tm", "Cd", "Cd", "Cd", "Cd", "Cd", "Cd"], "frac_coords": [[0.1649, 0.8351, 0.0000], [0.8351, 0.1649, 0.0000], [0.1690, 0.8310, 0.5000], [0.5000, 0.5000, 0.0000], [0.5000, 0.5000, 0.5000], [0.8310, 0.1690, 0.5000], [0.0000, 0.0000, 0.2624], [0.0000, 0.0000, 0.7376], [0.3361, 0.6639, 0.2617], [0.3361, 0.6639, 0.7383], [0.6639, 0.3361, 0.2617], [0.6639, 0.3361, 0.7383]]}



No. 21
{"formula": "Ho2ScTl2", "functional": "PBE-GGA", "state": "optimized geometry", "polymorph_energy_mev_per_atom": 0, "formation_energy_mev_per_atom": -234, "lattice_angstrom": [[-2.3078, 3.3126, 4.5203], [2.3078, -3.3126, 4.5203], [2.3078, 3.3126, -4.5203]], "species": ["Ho", "Ho", "Sc", "Tl", "Tl"], "frac_coords": [[0.1967, 0.1967, 0.0000], [0.8033, 0.8033, 0.0000], [0.5000, 0.0000, 0.5000], [0.2270, 0.5000, 0.7270], [0.7730, 0.5000, 0.2730]]}